1.
Here is an optimized crystal structure of Na2SrTlGe from Alexandria. Energies are from PBE.

abc: 5.5180 5.5180 5.7850
angles: 90.00 90.00 90.00
Fractional coordinates of all 5 atoms:
Na1 0.0000 0.5000 0.0000
Na2 0.5000 0.0000 0.0000
Sr1 0.0000 0.0000 0.5000
Tl1 0.5000 0.5000 0.5000
Ge1 0.5000 0.5000 0.0000

The density of states at the Fermi level comes out at 0.6365 states/eV per atom. The value obtained for the formation energy is 59 meV/atom. As for the total energy: -2.202 eV per atom.



2.
Here is an optimized crystal structure of Ac2VGe5 from Alexandria. Energies are from PBE.

abc: 6.5703 6.5703 6.5703
angles: 122.69 122.69 85.40
Fractional coordinates of all 8 atoms:
Ac1 0.0000 0.5000 0.5000
Ac2 0.5000 0.0000 0.5000
V1 0.2153 0.2153 0.0000
Ge1 0.5346 0.5346 0.5708
Ge2 0.5346 0.9638 0.0000
Ge3 0.9554 0.9554 0.0000
Ge4 0.9638 0.5346 0.0000
Ge5 0.9638 0.9638 0.4292

The density of states at the Fermi level comes out at 0.6062 states/eV per atom. The value obtained for the formation energy is -394 meV/atom. As for the total energy: -5.447 eV per atom.



3.
Here is an optimized crystal structure of CuRh from Alexandria. Energies are from PBE.

abc: 2.6778 2.6778 4.3195
angles: 90.00 90.00 120.00
Fractional coordinates of all 2 atoms:
Cu1 0.0000 0.0000 0.0000
Rh1 0.3333 0.6667 0.5000

The density of states at the Fermi level comes out at 1.4477 states/eV per atom. The value obtained for the formation energy is 92 meV/atom. As for the total energy: -5.632 eV per atom.



4.
Here is an optimized crystal structure of Tl2ZnO4 from Alexandria. Energies are from PBE.

abc: 6.6014 6.6014 6.6014
angles: 60.00 60.00 60.00
Fractional coordinates of all 14 atoms:
Tl1 0.0000 0.0000 0.0000
Tl2 0.0000 0.0000 0.5000
Tl3 0.0000 0.5000 0.0000
Tl4 0.5000 0.0000 0.0000
Zn1 0.3750 0.3750 0.3750
Zn2 0.6250 0.6250 0.6250
O1 0.2436 0.7521 0.7521
O2 0.2479 0.2479 0.2479
O3 0.2479 0.2479 0.7564
O4 0.2479 0.7564 0.2479
O5 0.7521 0.2436 0.7521
O6 0.7521 0.7521 0.2436
O7 0.7521 0.7521 0.7521
O8 0.7564 0.2479 0.2479

The density of states at the Fermi level comes out at 0.4661 states/eV per atom. For the uncorrected formation energy, the calculation gives -79.9 kJ per mole of atoms. As for the total energy: -4.520 eV per atom.



5.
Here is an optimized crystal structure of Sr2FeBr from Alexandria. Energies are from PBE.

abc: 7.4525 7.4525 7.4525
angles: 145.13 145.13 50.15
Fractional coordinates of all 4 atoms:
Sr1 0.0000 0.0000 0.0000
Sr2 0.7500 0.2500 0.5000
Fe1 0.5000 0.5000 0.0000
Br1 0.2500 0.7500 0.5000

The density of states at the Fermi level comes out at 1.7863 states/eV per atom. As for the energy above the most stable polymorph in this dataset: 0.273 eV/atom. For the uncorrected formation energy, the calculation gives -2.5 kJ per mole of atoms. As for the total energy: -3.401 eV per atom.



6.
Here is an optimized crystal structure of LaDy4Mg from Alexandria. Energies are from PBE.

abc: 3.6273 3.6273 14.1859
angles: 90.00 90.00 90.00
Fractional coordinates of all 6 atoms:
La1 0.0000 0.0000 0.0000
Dy1 0.0000 0.0000 0.3518
Dy2 0.0000 0.0000 0.6482
Dy3 0.5000 0.5000 0.1819
Dy4 0.5000 0.5000 0.8181
Mg1 0.5000 0.5000 0.5000

The density of states at the Fermi level comes out at 1.4292 states/eV per atom. As for the energy above the most stable polymorph in this dataset: 0.000 eV/atom. The value obtained for the formation energy is -6 meV/atom. As for the total energy: -4.162 eV per atom.